A.
A geometry-optimized La3Dy2Ho3 structure. Source: Alexandria, functional PBE.

The space group is C2/m (No. 12) and the conventional cell measures 16.610, 5.767 and 6.050 Å, with angles of 90.00, 110.66 and 90.00 degrees. Symmetry generates all atoms from La at (0.000, 0.000, 0.000), La at (0.136, 0.000, 0.698), Dy at (0.249, 0.500, 0.680), Ho at (0.000, 0.500, 0.500) and Ho at (0.134, 0.500, 0.081).

For the density of states at the Fermi level, the calculation gives 26.5 states/eV/cell. Its density is 7.57 g/cm³.

***

B.
A geometry-optimized La3Dy2Ho3 structure. Source: Alexandria, functional PBE.

The space group is Immm (No. 71) and the conventional cell measures 5.042, 5.147 and 20.604 Å, with angles of 90.00, 90.00 and 90.00 degrees. Symmetry generates all atoms from La at (0.000, 0.000, 0.000), La at (0.000, 0.500, 0.124), Dy at (0.000, 0.000, 0.249), Ho at (0.000, 0.000, 0.500) and Ho at (0.000, 0.500, 0.372).

For the density of states at the Fermi level, the calculation gives 27.4 states/eV/cell. Its density is 7.68 g/cm³.

***

What are the relative energies? In meV per atom: A 57; B 0.

***

A.
A geometry-optimized LaDy5Ho3 structure. Source: Alexandria, functional PBE.

The space group is C2/m (No. 12) and the conventional cell measures 16.967, 7.987 and 12.200 Å, with angles of 90.00, 130.69 and 90.00 degrees. Symmetry generates all atoms from La at (0.238, 0.000, 0.137), Dy at (0.000, 0.321, 0.000), Dy at (0.064, 0.207, 0.780), Dy at (0.124, 0.000, 0.569), Dy at (0.200, 0.500, 0.071), Ho at (0.000, 0.000, 0.000), Ho at (0.000, 0.500, 0.500), Ho at (0.121, 0.500, 0.318) and Ho at (0.166, 0.000, 0.339).

For the density of states at the Fermi level, the calculation gives 55.5 states/eV/cell. Its density is 7.66 g/cm³.

***

B.
A geometry-optimized LaDy5Ho3 structure. Source: Alexandria, functional PBE.

The space group is C2/c (No. 15) and the conventional cell measures 19.145, 6.046 and 11.138 Å, with angles of 90.00, 112.27 and 90.00 degrees. Symmetry generates all atoms from La at (0.000, 0.147, 0.250), Dy at (0.000, 0.371, 0.750), Dy at (0.165, 0.256, 0.698), Dy at (0.168, 0.269, 0.029), Ho at (0.000, 0.000, 0.000) and Ho at (0.176, 0.223, 0.366).

For the density of states at the Fermi level, the calculation gives 56.9 states/eV/cell. Its density is 8.05 g/cm³.

***

What are the relative energies? In meV per atom: A 87; B 0.

***

A.
A geometry-optimized LaDy6Ho structure. Source: Alexandria, functional PBE.

The space group is P-1 (No. 2) and the conventional cell measures 6.562, 6.567 and 7.514 Å, with angles of 114.71, 115.66 and 90.18 degrees. Symmetry generates all atoms from La at (0.000, 0.000, 0.000), Dy at (0.236, 0.562, 0.472), Dy at (0.253, 0.500, 0.999), Dy at (0.268, 0.090, 0.535) and Ho at (0.500, 0.000, 0.000).

For the density of states at the Fermi level, the calculation gives 12.9 states/eV/cell. Its density is 8.22 g/cm³.

***

B.
A geometry-optimized LaDy6Ho structure. Source: Alexandria, functional PBE.

The space group is P4/mmm (No. 123) and the conventional cell measures 5.047, 5.047 and 10.093 Å, with angles of 90.00, 90.00 and 90.00 degrees. Symmetry generates all atoms from La at (0.000, 0.000, 0.000), Dy at (0.000, 0.500, 0.255), Dy at (0.500, 0.500, 0.000), Dy at (0.500, 0.500, 0.500) and Ho at (0.000, 0.000, 0.500).

For the density of states at the Fermi level, the calculation gives 12.2 states/eV/cell. Its density is 8.26 g/cm³.

***

What are the relative energies? In meV per atom: A 169; B 0.

***

A.
A geometry-optimized LaDy3Ho2 structure. Source: Alexandria, functional PBE.

The space group is P2_1/m (No. 11) and the conventional cell measures 9.831, 3.475 and 12.148 Å, with angles of 90.00, 107.28 and 90.00 degrees. Symmetry generates all atoms from La at (0.213, 0.250, 0.369), Dy at (0.294, 0.250, 0.119), Dy at (0.394, 0.250, 0.870), Dy at (0.423, 0.750, 0.619), Ho at (0.021, 0.250, 0.878) and Ho at (0.103, 0.250, 0.620).

For the density of states at the Fermi level, the calculation gives 21.0 states/eV/cell. Its density is 8.01 g/cm³.

***

B.
A geometry-optimized LaDy3Ho2 structure. Source: Alexandria, functional PBE.

The space group is Cmcm (No. 63) and the conventional cell measures 3.591, 18.630 and 11.592 Å, with angles of 90.00, 90.00 and 90.00 degrees. Symmetry generates all atoms from La at (0.000, 0.221, 0.250), Dy at (0.000, 0.108, 0.750), Dy at (0.000, 0.335, 0.004), Ho at (0.000, 0.000, 0.000) and Ho at (0.000, 0.446, 0.750).

For the density of states at the Fermi level, the calculation gives 33.3 states/eV/cell. Its density is 8.19 g/cm³.

***

What are the relative energies? In meV per atom: A 140; B 0.

***

A.
A geometry-optimized La2Dy7Ho3 structure. Source: Alexandria, functional PBE.

The space group is P2/m (No. 10) and the conventional cell measures 6.358, 3.523 and 17.503 Å, with angles of 90.00, 96.16 and 90.00 degrees. Symmetry generates all atoms from La at (0.059, 0.000, 0.172), Dy at (0.000, 0.500, 0.500), Dy at (0.230, 0.000, 0.666), Dy at (0.257, 0.000, 0.999), Dy at (0.276, 0.500, 0.338), Ho at (0.454, 0.500, 0.843) and Ho at (0.500, 0.000, 0.500).

For the density of states at the Fermi level, the calculation gives 18.3 states/eV/cell. Its density is 8.14 g/cm³.

***

B.
A geometry-optimized La2Dy7Ho3 structure. Source: Alexandria, functional PBE.

The space group is Cmmm (No. 65) and the conventional cell measures 5.710, 38.082 and 3.617 Å, with angles of 90.00, 90.00 and 90.00 degrees. Symmetry generates all atoms from La at (0.000, 0.147, 0.000), Dy at (0.000, 0.000, 0.000), Dy at (0.000, 0.070, 0.500), Dy at (0.000, 0.231, 0.000), Dy at (0.000, 0.412, 0.000), Ho at (0.000, 0.313, 0.500) and Ho at (0.000, 0.500, 0.500).

For the density of states at the Fermi level, the calculation gives 36.2 states/eV/cell. Its density is 8.07 g/cm³.

***

What are the relative energies? In meV per atom: A 0; B 40.

***

A.
A geometry-optimized La2DyHo6 structure. Source: Alexandria, functional PBE.

The space group is P6/mmm (No. 191) and the conventional cell measures 9.8175, 9.8175 and 3.4879 Å, with angles of 90.00, 90.00 and 120.00 degrees. Symmetry generates all atoms from La at (0.3333, 0.6667, 0.0000), Dy at (0.0000, 0.0000, 0.0000) and Ho at (0.0000, 0.3304, 0.5000).

For the density of states at the Fermi level, the calculation gives 14.8 states/eV/cell. Its density is 8.16 g/cm³.

***

B.
A geometry-optimized La2DyHo6 structure. Source: Alexandria, functional PBE.

The space group is P-3m1 (No. 164) and the conventional cell measures 7.6390, 7.6390 and 5.9769 Å, with angles of 90.00, 90.00 and 120.00 degrees. Symmetry generates all atoms from La at (0.3333, 0.6667, 0.2137), Dy at (0.0000, 0.0000, 0.0000) and Ho at (0.1881, 0.3762, 0.7055).

For the density of states at the Fermi level, the calculation gives 10.6 states/eV/cell. Its density is 7.86 g/cm³.

***

What are the relative energies? In meV per atom: A 0; B 168.

***

A.
A geometry-optimized La3Dy5Ho4 structure. Source: Alexandria, functional PBE.

The space group is C2/m (No. 12) and the conventional cell measures 17.843, 5.754 and 8.762 Å, with angles of 90.00, 116.43 and 90.00 degrees. Symmetry generates all atoms from La at (0.000, 0.000, 0.000), La at (0.184, 0.500, 0.228), Dy at (0.000, 0.500, 0.000), Dy at (0.093, 0.000, 0.441), Dy at (0.162, 0.000, 0.890), Ho at (0.037, 0.500, 0.697) and Ho at (0.209, 0.500, 0.649).

For the density of states at the Fermi level, the calculation gives 35.3 states/eV/cell. Its density is 7.79 g/cm³.

***

B.
A geometry-optimized La3Dy5Ho4 structure. Source: Alexandria, functional PBE.

The space group is P-1 (No. 2) and the conventional cell measures 6.218, 7.165 and 8.802 Å, with angles of 89.86, 89.79 and 89.89 degrees. Symmetry generates all atoms from La at (0.000, 0.000, 0.000), La at (0.166, 0.252, 0.334), Dy at (0.000, 0.500, 0.000), Dy at (0.336, 0.000, 0.667), Dy at (0.498, 0.748, 0.000), Ho at (0.171, 0.749, 0.333) and Ho at (0.334, 0.499, 0.668).

For the density of states at the Fermi level, the calculation gives 17.2 states/eV/cell. Its density is 8.00 g/cm³.

***

What are the relative energies? In meV per atom: A 245; B 0.

***

A.
A geometry-optimized La4DyHo4 structure. Source: Alexandria, functional PBE.

The space group is I4/mmm (No. 139) and the conventional cell measures 10.859, 10.859 and 5.137 Å, with angles of 90.00, 90.00 and 90.00 degrees. Symmetry generates all atoms from La at (0.167, 0.167, 0.000), Dy at (0.000, 0.000, 0.500) and Ho at (0.000, 0.336, 0.500).

For the density of states at the Fermi level, the calculation gives 27.2 states/eV/cell. Its density is 7.56 g/cm³.

***

B.
A geometry-optimized La4DyHo4 structure. Source: Alexandria, functional PBE.

The space group is I-42m (No. 121) and the conventional cell measures 6.113, 6.113 and 19.563 Å, with angles of 90.00, 90.00 and 90.00 degrees. Symmetry generates all atoms from La at (0.000, 0.000, 0.144), La at (0.000, 0.500, 0.000), Dy at (0.000, 0.000, 0.000) and Ho at (0.180, 0.180, 0.296).

For the density of states at the Fermi level, the calculation gives 27.2 states/eV/cell. Its density is 6.26 g/cm³.

***

What are the relative energies? In meV per atom: A 0; B 681.